The following is a PBE calculation of a geometry-optimized Pa2NbTl structure, from Alexandria via LeMat-Bulk.

Structure (POSCAR):
```
Pa2NbTl
1.0
1.964 1.134 8.156
-1.964 1.134 8.156
0.000 -2.268 8.156
Pa Nb Tl
2 1 1
Cartesian
0.000 0.000 5.695
0.000 0.000 18.773
0.000 0.000 12.234
0.000 0.000 0.000
```

Properties
- Energy of formation from the pure elements: 0.616 eV per atom
- E: -7.240 eV/atom
- SG: R-3m
- Energy above the lowest structure with this stoichiometry: 1.707 eV/f.u.



The following is a PBE calculation of a geometry-optimized Pa2NbTl structure, from Alexandria via LeMat-Bulk.

Structure (POSCAR):
```
Pa2NbTl
1.0
3.115 0.000 0.000
0.000 3.115 0.000
0.000 0.000 9.858
Pa Nb Tl
2 1 1
Cartesian
0.000 0.000 2.264
0.000 0.000 7.594
1.558 1.558 0.000
1.558 1.558 4.929
```

Properties
- Energy of formation from the pure elements: 0.190 eV per atom
- E: -7.666 eV/atom
- SG: P4/mmm
- Energy above the lowest structure with this stoichiometry: 0.003 eV/f.u.



The following is a PBE calculation of a geometry-optimized PaNb2Tl structure, from Alexandria via LeMat-Bulk.

Structure (POSCAR):
```
PaNb2Tl
1.0
4.744 0.000 0.000
0.000 4.744 0.000
0.000 0.000 3.710
Pa Nb Tl
1 2 1
Cartesian
0.000 0.000 0.000
0.000 2.372 1.855
2.372 0.000 1.855
2.372 2.372 0.000
```

Properties
- Energy of formation from the pure elements: 0.167 eV per atom
- E: -7.833 eV/atom
- SG: P4/mmm



The following is a PBE calculation of a geometry-optimized Pa2NbTl structure, from Alexandria via LeMat-Bulk.

Structure (POSCAR):
```
Pa2NbTl
1.0
4.377 0.000 0.000
0.000 4.377 0.000
0.000 0.000 4.828
Pa Nb Tl
2 1 1
Cartesian
0.000 2.189 0.000
2.189 0.000 0.000
0.000 0.000 2.414
2.189 2.189 2.414
```

Properties
- Energy of formation from the pure elements: 0.190 eV per atom
- E: -7.667 eV/atom
- SG: P4/mmm
- Energy above the lowest structure with this stoichiometry: 0.000 eV/f.u.



The following is a PBE calculation of a geometry-optimized UPa3Nb structure, from Alexandria via LeMat-Bulk.

Structure (POSCAR):
```
UPa3Nb
1.0
8.160 0.000 0.000
0.000 7.640 0.000
0.000 0.000 7.546
U Pa Nb
4 12 4
Cartesian
0.000 0.000 0.000
0.000 3.820 0.000
4.080 0.000 3.773
4.080 3.820 3.773
1.116 1.910 2.159
1.281 0.254 5.061
1.281 3.566 5.061
2.799 4.074 1.289
2.799 7.387 1.289
2.965 5.730 5.931
5.196 1.910 1.614
5.361 0.254 6.257
5.361 3.566 6.257
6.879 4.074 2.484
6.879 7.387 2.484
7.045 5.730 5.387
1.169 5.730 3.036
2.911 1.910 6.809
5.249 5.730 0.737
6.991 1.910 4.510
```

Properties
- Energy of formation from the pure elements: 0.402 eV per atom
- E: -9.568 eV/atom
- SG: Pnma



The following is a PBE calculation of a geometry-optimized PaNb3V8 structure, from Alexandria via LeMat-Bulk.

Structure (POSCAR):
```
PaNb3V8
1.0
5.131 0.000 0.000
-2.565 4.443 0.000
0.000 0.000 8.322
Pa Nb V
1 3 8
Cartesian
0.000 0.000 0.000
0.000 0.000 3.189
2.565 1.481 4.177
2.565 1.481 7.271
0.000 1.463 5.673
-1.298 3.712 5.673
0.000 2.962 3.680
0.000 2.962 7.813
2.565 0.021 1.636
1.301 2.211 1.636
1.298 3.712 5.673
3.830 2.211 1.636
```

Properties
- Energy of formation from the pure elements: -0.004 eV per atom
- E: -9.392 eV/atom
- SG: P3m1



- Which formula does entry 6 have?
  PaNb3V8